# 1
Computed, not measured: an optimized crystal structure of Pd3AuSe at the GGA-PBE level of DFT.

Lattice parameters (Å, degrees): 4.6537 4.6537 4.6537 90.00 90.00 90.00
With the nearest neighbours (Å) after each atom.
Fractional positions:
Pd  0.0000  0.0000  0.5000  2 Se 2.33
Pd  0.0000  0.5000  0.0000  2 Se 2.33
Pd  0.5000  0.0000  0.0000  2 Se 2.33
Au  0.5000  0.5000  0.5000  12 Pd 3.29
Se  0.0000  0.0000  0.0000  6 Pd 2.33

## Properties
Magnetic moment: 0.00 μB per formula unit
Crystal system: cubic
Distance to the lowest polymorph of the same formula: 1.536 eV per formula unit
Energy relative to the elements, uncorrected: 4.8 kcal/mol of atoms

# 2
Computed, not measured: an optimized crystal structure of Pd3AuSe at the GGA-PBE level of DFT.

Lattice parameters (Å, degrees): 7.2676 4.9144 9.8777 90.00 105.27 90.00
With the nearest neighbours (Å) after each atom.
Fractional positions:
Pd  0.1366  0.1605  0.1279  4 Se 2.61-2.87, 2 Pd 2.87-2.91
Pd  0.1366  0.3395  0.6279  4 Se 2.61-2.87, 2 Pd 2.87-2.91
Pd  0.2496  0.6652  0.0178  2 Se 2.59-2.60, 4 Pd 2.84-2.87, 2 Au 2.87-2.89
Pd  0.2496  0.8348  0.5178  2 Se 2.59-2.60, 4 Pd 2.84-2.87, 2 Au 2.87-2.89
Pd  0.3599  0.1615  0.9140  1 Se 2.46
Pd  0.3599  0.3385  0.4140  1 Se 2.46
Pd  0.6401  0.6615  0.5860  1 Se 2.46
Pd  0.6401  0.8385  0.0860  1 Se 2.46
Pd  0.7504  0.1652  0.4822  2 Se 2.59-2.60, 4 Pd 2.84-2.87, 2 Au 2.87-2.89
Pd  0.7504  0.3348  0.9822  2 Se 2.59-2.60, 4 Pd 2.84-2.87, 2 Au 2.87-2.89
Pd  0.8634  0.6605  0.3721  4 Se 2.61-2.87, 2 Pd 2.87-2.91
Pd  0.8634  0.8395  0.8721  4 Se 2.61-2.87, 2 Pd 2.87-2.91
Au  0.4530  0.6640  0.8047  9 Pd 2.83-3.01, 2 Au 2.84
Au  0.4530  0.8360  0.3047  9 Pd 2.83-3.01, 2 Au 2.84
Au  0.5470  0.1640  0.6953  9 Pd 2.83-3.01, 2 Au 2.84
Au  0.5470  0.3360  0.1953  9 Pd 2.83-3.01, 2 Au 2.84
Se  0.0260  0.1900  0.3620  6 Pd 2.46-2.65
Se  0.0260  0.3100  0.8620  6 Pd 2.46-2.65
Se  0.9740  0.6900  0.1380  6 Pd 2.46-2.65
Se  0.9740  0.8100  0.6380  6 Pd 2.46-2.65

## Properties
Magnetic moment: 0.00 μB per formula unit
Crystal system: monoclinic
Distance to the lowest polymorph of the same formula: 0.000 eV per formula unit
Energy relative to the elements, uncorrected: -2.3 kcal/mol of atoms

# 3
Computed, not measured: an optimized crystal structure of PdAuSe3 at the GGA-PBE level of DFT.

Lattice parameters (Å, degrees): 8.2645 8.2645 6.8865 98.60 98.60 84.62
With the nearest neighbours (Å) after each atom.
Fractional positions:
Pd  0.0805  0.9195  0.7500  6 Se 2.56-2.59
Pd  0.2637  0.7363  0.2500  6 Se 2.56-2.58
Pd  0.7363  0.2637  0.7500  6 Se 2.56-2.58
Pd  0.9195  0.0805  0.2500  6 Se 2.56-2.59
Au  0.1969  0.4335  0.6837  4 Se 2.51-2.66
Au  0.4335  0.1969  0.1837  4 Se 2.51-2.66
Au  0.5665  0.8031  0.8163  4 Se 2.51-2.66
Au  0.8031  0.5665  0.3163  4 Se 2.51-2.66
Se  0.0117  0.1966  0.6110  1 Au 2.54, 3 Pd 2.56-2.59
Se  0.0788  0.6603  0.9175  1 Au 2.51, 2 Pd 2.58
Se  0.1966  0.0117  0.1110  1 Au 2.54, 3 Pd 2.56-2.59
Se  0.3397  0.9212  0.5825  1 Au 2.51, 2 Pd 2.58
Se  0.3564  0.4760  0.4099  2 Au 2.54-2.66, 1 Se 2.55, 1 Pd 2.56
Se  0.4760  0.3564  0.9099  2 Au 2.54-2.66, 1 Se 2.55, 1 Pd 2.56
Se  0.5240  0.6436  0.0901  2 Au 2.54-2.66, 1 Se 2.55, 1 Pd 2.56
Se  0.6436  0.5240  0.5901  2 Au 2.54-2.66, 1 Se 2.55, 1 Pd 2.56
Se  0.6603  0.0788  0.4175  1 Au 2.51, 2 Pd 2.58
Se  0.8034  0.9883  0.8890  1 Au 2.54, 3 Pd 2.56-2.59
Se  0.9212  0.3397  0.0825  1 Au 2.51, 2 Pd 2.58
Se  0.9883  0.8034  0.3890  1 Au 2.54, 3 Pd 2.56-2.59

## Properties
Magnetic moment: 0.00 μB per formula unit
Crystal system: monoclinic
Distance to the lowest polymorph of the same formula: 0.000 eV per formula unit
Energy relative to the elements, uncorrected: -1.7 kcal/mol of atoms

# 4
Computed, not measured: an optimized crystal structure of Sn2PdAuSe at the GGA-PBE level of DFT.

Lattice parameters (Å, degrees): 5.5680 5.5680 4.7857 90.00 90.00 90.00
With the nearest neighbours (Å) after each atom.
Fractional positions:
Sn  0.0000  0.5000  0.0000  2 Se 2.78
Sn  0.5000  0.0000  0.0000  2 Se 2.78
Pd  0.0000  0.0000  0.5000  8 Sn 3.67, 4 Au 3.94
Au  0.5000  0.5000  0.5000  2 Se 2.39
Se  0.5000  0.5000  0.0000  2 Au 2.39

## Properties
Magnetic moment: 0.00 μB per formula unit
Crystal system: tetragonal
Energy relative to the elements, uncorrected: 14.0 kcal/mol of atoms

# 5
Computed, not measured: an optimized crystal structure of TcPdAuSe2 at the GGA-PBE level of DFT.

Lattice parameters (Å, degrees): 4.7090 4.7090 5.0939 90.00 90.00 90.00
With the nearest neighbours (Å) after each atom.
Fractional positions:
Tc  0.0000  0.0000  0.0000  4 Se 2.35, 2 Pd 2.55
Pd  0.0000  0.0000  0.5000  2 Tc 2.55
Au  0.5000  0.5000  0.5000  4 Pd 3.33, 8 Se 3.47
Se  0.0000  0.5000  0.0000  2 Tc 2.35
Se  0.5000  0.0000  0.0000  2 Tc 2.35

## Properties
Magnetic moment: 0.00 μB per formula unit
Crystal system: tetragonal
Energy relative to the elements, uncorrected: 14.7 kcal/mol of atoms

# 6
Computed, not measured: an optimized crystal structure of Tl2PdAuSe4 at the GGA-PBE level of DFT.

Lattice parameters (Å, degrees): 12.4384 10.2531 8.0910 84.51 55.14 40.35
With the nearest neighbours (Å) after each atom.
Fractional positions:
Tl  0.0627  0.0627  0.6873  6 Se 3.13-3.46
Tl  0.3127  0.3127  0.9373  6 Se 3.13-3.46
Tl  0.6873  0.6873  0.0627  6 Se 3.13-3.46
Tl  0.9373  0.9373  0.3127  6 Se 3.13-3.46
Pd  0.1250  0.1250  0.1250  4 Se 2.56, 2 Au 2.82
Pd  0.8750  0.8750  0.8750  4 Se 2.56, 2 Au 2.82
Au  0.3750  0.3750  0.3750  4 Se 2.65, 2 Pd 2.82
Au  0.6250  0.6250  0.6250  4 Se 2.65, 2 Pd 2.82
Se  0.0727  0.3203  0.3980  1 Pd 2.56, 1 Au 2.65, 1 Se 2.68
Se  0.2910  0.6020  0.6797  1 Pd 2.56, 1 Au 2.65, 1 Se 2.68
Se  0.3203  0.0727  0.7090  1 Pd 2.56, 1 Au 2.65, 1 Se 2.68
Se  0.3980  0.7090  0.0727  1 Pd 2.56, 1 Au 2.65, 1 Se 2.68
Se  0.6020  0.2910  0.9273  1 Pd 2.56, 1 Au 2.65, 1 Se 2.68
Se  0.6797  0.9273  0.2910  1 Pd 2.56, 1 Au 2.65, 1 Se 2.68
Se  0.7090  0.3980  0.3203  1 Pd 2.56, 1 Au 2.65, 1 Se 2.68
Se  0.9273  0.6797  0.6020  1 Pd 2.56, 1 Au 2.65, 1 Se 2.68

## Properties
Magnetic moment: 0.00 μB per formula unit
Crystal system: orthorhombic
Energy relative to the elements, uncorrected: -2.5 kcal/mol of atoms

# 7
Computed, not measured: an optimized crystal structure of PdWAu2Se at the GGA-PBE level of DFT.

Lattice parameters (Å, degrees): 4.8446 4.8446 4.6618 90.00 90.00 90.00
With the nearest neighbours (Å) after each atom.
Fractional positions:
Pd  0.0000  0.0000  0.0000  8 Au 3.36, 4 W 3.43
W  0.5000  0.5000  0.0000  2 Se 2.33
Au  0.0000  0.5000  0.5000  2 Se 2.42
Au  0.5000  0.0000  0.5000  2 Se 2.42
Se  0.5000  0.5000  0.5000  2 W 2.33, 4 Au 2.42

## Properties
Magnetic moment: 1.46 μB per formula unit
Crystal system: tetragonal
Energy relative to the elements, uncorrected: 28.1 kcal/mol of atoms

# 8
Computed, not measured: an optimized crystal structure of Si2PdAu2 at the GGA-PBE level of DFT.

Lattice parameters (Å, degrees): 6.2729 6.2729 4.3900 90.00 90.00 90.00
With the nearest neighbours (Å) after each atom.
Fractional positions:
Si  0.1287  0.3713  0.0000  1 Si 2.28, 2 Au 2.46, 2 Pd 2.47
Si  0.3713  0.8713  0.0000  1 Si 2.28, 2 Au 2.46, 2 Pd 2.47
Si  0.6287  0.1287  0.0000  1 Si 2.28, 2 Au 2.46, 2 Pd 2.47
Si  0.8713  0.6287  0.0000  1 Si 2.28, 2 Au 2.46, 2 Pd 2.47
Pd  0.0000  0.0000  0.0000  4 Si 2.47
Pd  0.5000  0.5000  0.0000  4 Si 2.47
Au  0.2463  0.7463  0.5000  2 Si 2.46
Au  0.2537  0.2463  0.5000  2 Si 2.46
Au  0.7463  0.7537  0.5000  2 Si 2.46
Au  0.7537  0.2537  0.5000  2 Si 2.46

## Properties
Magnetic moment: 0.00 μB per formula unit
Crystal system: tetragonal
Energy relative to the elements, uncorrected: -2.4 kcal/mol of atoms

# 9
Computed, not measured: an optimized crystal structure of Si2PdAu at the GGA-PBE level of DFT.

Lattice parameters (Å, degrees): 6.2387 6.2387 6.2387 122.51 122.51 85.70
With the nearest neighbours (Å) after each atom.
Fractional positions:
Si  0.1119  0.6250  0.9869  2 Pd 2.36, 2 Au 2.46
Si  0.3750  0.3619  0.4869  2 Pd 2.36, 2 Au 2.46
Si  0.6381  0.1250  0.0131  2 Pd 2.36, 2 Au 2.46
Si  0.8750  0.8881  0.5131  2 Pd 2.36, 2 Au 2.46
Pd  0.0000  0.0000  0.0000  4 Si 2.36
Pd  0.7500  0.2500  0.5000  4 Si 2.36
Au  0.2500  0.7500  0.5000  4 Si 2.46
Au  0.5000  0.5000  0.0000  4 Si 2.46

## Properties
Magnetic moment: 0.00 μB per formula unit
Crystal system: tetragonal
Distance to the lowest polymorph of the same formula: 0.419 eV per formula unit
Energy relative to the elements, uncorrected: 2.0 kcal/mol of atoms

# 10
Computed, not measured: an optimized crystal structure of Si2PdAu at the GGA-PBE level of DFT.

Lattice parameters (Å, degrees): 6.5184 6.5184 6.5184 36.61 36.61 36.61
With the nearest neighbours (Å) after each atom.
Fractional positions:
Si  0.1310  0.1310  0.1310  1 Au 2.39, 3 Pd 2.45
Si  0.8690  0.8690  0.8690  1 Au 2.39, 3 Pd 2.45
Pd  0.5000  0.5000  0.5000  6 Si 2.45
Au  0.0000  0.0000  0.0000  2 Si 2.39

## Properties
Magnetic moment: 0.00 μB per formula unit
Crystal system: trigonal
Distance to the lowest polymorph of the same formula: 0.000 eV per formula unit
Energy relative to the elements, uncorrected: -0.4 kcal/mol of atoms

# 11
Computed, not measured: an optimized crystal structure of SiPd8Au2 at the GGA-PBE level of DFT.

Lattice parameters (Å, degrees): 7.2884 7.2884 4.8976 104.16 104.16 125.81
With the nearest neighbours (Å) after each atom.
Fractional positions:
Si  0.0000  0.0000  0.0000  6 Pd 2.31-2.33
Pd  0.1019  0.3262  0.4290  1 Si 2.31
Pd  0.2134  0.8362  0.7687  1 Si 2.74, 6 Pd 2.75-3.03, 4 Au 2.85-2.91
Pd  0.3262  0.1019  0.4290  1 Si 2.31
Pd  0.3422  0.3422  0.9839  1 Si 2.32
Pd  0.5787  0.8030  0.8919  1 Si 2.33
Pd  0.8030  0.5787  0.8919  1 Si 2.33
Pd  0.8248  0.8248  0.4458  1 Si 2.31
Pd  0.8362  0.2134  0.7687  1 Si 2.74, 6 Pd 2.75-3.03, 4 Au 2.85-2.91
Au  0.3276  0.7169  0.2596  10 Pd 2.73-3.05
Au  0.7169  0.3276  0.2596  10 Pd 2.73-3.05

## Properties
Magnetic moment: 0.00 μB per formula unit
Crystal system: monoclinic
Distance to the lowest polymorph of the same formula: 0.000 eV per formula unit
Energy relative to the elements, uncorrected: -4.6 kcal/mol of atoms

> Which of these has the highest magnetic moment?

PdWAu2Se

What did the sixth record say?
Computed, not measured: an optimized crystal structure of Tl2PdAuSe4 at the GGA-PBE level of DFT.

Lattice parameters (Å, degrees): 12.4384 10.2531 8.0910 84.51 55.14 40.35
With the nearest neighbours (Å) after each atom.
Fractional positions:
Tl  0.0627  0.0627  0.6873  6 Se 3.13-3.46
Tl  0.3127  0.3127  0.9373  6 Se 3.13-3.46
Tl  0.6873  0.6873  0.0627  6 Se 3.13-3.46
Tl  0.9373  0.9373  0.3127  6 Se 3.13-3.46
Pd  0.1250  0.1250  0.1250  4 Se 2.56, 2 Au 2.82
Pd  0.8750  0.8750  0.8750  4 Se 2.56, 2 Au 2.82
Au  0.3750  0.3750  0.3750  4 Se 2.65, 2 Pd 2.82
Au  0.6250  0.6250  0.6250  4 Se 2.65, 2 Pd 2.82
Se  0.0727  0.3203  0.3980  1 Pd 2.56, 1 Au 2.65, 1 Se 2.68
Se  0.2910  0.6020  0.6797  1 Pd 2.56, 1 Au 2.65, 1 Se 2.68
Se  0.3203  0.0727  0.7090  1 Pd 2.56, 1 Au 2.65, 1 Se 2.68
Se  0.3980  0.7090  0.0727  1 Pd 2.56, 1 Au 2.65, 1 Se 2.68
Se  0.6020  0.2910  0.9273  1 Pd 2.56, 1 Au 2.65, 1 Se 2.68
Se  0.6797  0.9273  0.2910  1 Pd 2.56, 1 Au 2.65, 1 Se 2.68
Se  0.7090  0.3980  0.3203  1 Pd 2.56, 1 Au 2.65, 1 Se 2.68
Se  0.9273  0.6797  0.6020  1 Pd 2.56, 1 Au 2.65, 1 Se 2.68

## Properties
Magnetic moment: 0.00 μB per formula unit
Crystal system: orthorhombic
Energy relative to the elements, uncorrected: -2.5 kcal/mol of atoms